First-principles (PBE-GGA) data for crystalline BeAlIr2 at its relaxed geometry, as listed in the Alexandria database.

Calculated values
- Energy of formation: -0.551 eV per atom
- Space-group type: No. 8
- Energy relative to the lowest polymorph listed for this composition: 0.90 eV per formula unit
- Total moment: 0.00 μB/f.u.
- Total DFT energy (no corrections): -6.849 eV/atom

Cell lengths 4.768, 4.768, 4.287 Å; angles 71.05, 71.05, 34.48 degrees
Fractional coordinates of all 4 atoms:
Be 0.258 0.258 0.175
Ir 0.998 0.998 0.082
Ir 0.748 0.748 0.673
Al 0.496 0.496 0.570